No. 1
A geometry-optimized Ba2CaNi2 structure, computed with PBE.

Cell and atoms, written as POSCAR:
```
Ba2CaNi2
1.0
8.034 0.000 0.000
0.000 8.034 0.000
0.000 0.000 4.735
Ca Ba Ni
2 4 4
Direct
0.500 0.500 0.000 Ca
0.000 0.000 0.000 Ca
0.671 0.829 0.500 Ba
0.171 0.671 0.500 Ba
0.329 0.171 0.500 Ba
0.829 0.329 0.500 Ba
0.604 0.104 0.000 Ni
0.896 0.604 0.000 Ni
0.396 0.896 0.000 Ni
0.104 0.396 0.000 Ni
```

Properties
Calculated volume = 152.8 Å³/f.u.
Space group = No. 127

---

No. 2
A geometry-optimized Ba4CaNi structure, computed with PBE.

Cell and atoms, written as POSCAR:
```
Ba4CaNi
1.0
-1.548 -4.640 -5.680
-5.007 1.993 -5.210
2.279 1.680 -6.940
Ba Ni Ca
4 1 1
Direct
0.374 0.878 0.374 Ba
0.878 0.374 0.374 Ba
0.374 0.374 0.374 Ba
0.374 0.374 0.878 Ba
0.000 0.000 0.000 Ni
0.750 0.750 0.750 Ca
```

Properties
Calculated volume = 297.8 Å³/f.u.
Space group = No. 216

---

DFT formation energy for the records above, in order: 37, 420 kJ/mol of formula units